Here is a relaxed RbTe4MoAu3 crystal from OQMD. Energies are from GGA-PBE.

```
RbTe4MoAu3
1.0
6.797 0.000 0.000
0.000 6.797 0.000
0.000 0.000 6.797
Rb Te Mo Au
1 4 1 3
Cartesian
0.000 0.000 0.000 Rb
1.894 1.894 1.894 Te
1.894 4.904 4.904 Te
4.904 1.894 4.904 Te
4.904 4.904 1.894 Te
3.399 3.399 3.399 Mo
0.000 3.399 3.399 Au
3.399 0.000 3.399 Au
3.399 3.399 0.000 Au
```

## Properties
Size of the total moment: 1.9 μB/f.u.
VASP energy: -3.8844 eV per atom

Here is a relaxed Mo3AuS5 crystal from OQMD. Energies are from GGA-PBE.

```
Mo3AuS5
1.0
5.552 0.000 0.000
-2.776 4.808 0.000
0.000 0.000 6.949
Mo Au S
3 1 5
Cartesian
-1.388 2.404 0.000 Mo
2.776 0.000 0.000 Mo
1.388 2.404 0.000 Mo
0.000 0.000 3.474 Au
0.000 0.000 0.000 S
0.000 3.205 1.831 S
0.000 3.205 5.118 S
2.776 1.603 1.831 S
2.776 1.603 5.118 S
```

## Properties
Size of the total moment: 2.7 μB/f.u.
VASP energy: -6.2359 eV per atom

Here is a relaxed TlMoAuSe2S crystal from OQMD. Energies are from GGA-PBE.

```
TlMoAuSe2S
1.0
1.916 -7.380 0.000
1.916 7.380 0.000
0.000 0.000 9.995
Tl Mo Au Se S
2 2 2 4 2
Cartesian
1.916 3.742 7.497 Tl
1.916 -3.742 2.499 Tl
0.000 0.000 0.000 Mo
0.000 0.000 4.998 Mo
1.916 0.825 2.499 Au
1.916 -0.825 7.497 Au
1.916 1.821 0.173 Se
1.916 1.821 4.825 Se
1.916 -1.821 5.171 Se
1.916 -1.821 9.823 Se
1.916 6.521 2.499 S
1.916 -6.521 7.497 S
```

## Properties
Size of the total moment: 2.0 μB/f.u.
VASP energy: -4.7042 eV per atom

Question: Number 1 is which compound?
Answer: RbTe4MoAu3

Question: Which value of VASP energy does entry 2 give?
Answer: -6.2359 eV per atom

Question: Look up the VASP energy of the third one.
Answer: -4.7042 eV per atom